No. 1
AlHgBr: optimized geometry, PBE.

## Properties
Magnetic moment ... 0.00 Bohr magnetons per cell
Energy ... -2.003 eV per atom
Distance to the lowest polymorph of the same formula ... 68 meV per atom
Volume ... 29.822 A^3/atom
ρ ... 5707 kg/m³

CIF file:
```
data_AlHgBr
_chemical_formula_sum 'Al2 Hg2 Br2'
_cell_length_a 3.5648
_cell_length_b 3.5648
_cell_length_c 14.0804
_cell_angle_alpha 90.00
_cell_angle_beta 90.00
_cell_angle_gamma 90.00
_symmetry_space_group_name_H-M 'I 4 m m'
_symmetry_Int_Tables_number 107
_symmetry_space_group_name_Hall 'I 4 -2'
loop_
_atom_site_label
_atom_site_fract_x
_atom_site_fract_y
_atom_site_fract_z
_atom_site_occupancy
Al1 0.0000 0.0000 0.0000 1
Hg1 0.0000 0.0000 0.6558 1
Br1 0.0000 0.0000 0.3916 1
```

***

No. 2
Pm12HoGe6: optimized geometry, PBE.

## Properties
Magnetic moment ... 0.00 Bohr magnetons per cell
Energy ... -5.095 eV per atom
D(E_F) ... 75.160 states/eV/cell
Energy relative to the elements ... -7.5 eV/f.u.
Volume ... 30.844 A^3/atom
ρ ... 6633 kg/m³

CIF file:
```
data_Pm12HoGe6
_chemical_formula_sum 'Pm36 Ho3 Ge18'
_cell_length_a 13.6700
_cell_length_b 13.6700
_cell_length_c 10.8636
_cell_angle_alpha 90.00
_cell_angle_beta 90.00
_cell_angle_gamma 120.00
_symmetry_space_group_name_H-M 'R -3 m'
_symmetry_Int_Tables_number 166
_symmetry_space_group_name_Hall '-R 3 2"'
loop_
_atom_site_label
_atom_site_fract_x
_atom_site_fract_y
_atom_site_fract_z
_atom_site_occupancy
Pm1 0.0000 0.3763 0.0000 1
Pm2 0.0878 0.1756 0.8508 1
Ho1 0.0000 0.0000 0.5000 1
Ge1 0.0359 0.5179 0.7671 1
```

***

No. 3
Co2SnP: optimized geometry, PBE.

## Properties
Magnetic moment ... 4.39 Bohr magnetons per cell
Energy ... -5.839 eV per atom
D(E_F) ... 11.656 states/eV/cell
Energy relative to the elements ... 0.3 eV/f.u.
Volume ... 16.150 A^3/atom
ρ ... 6877 kg/m³

CIF file:
```
data_Co2SnP
_chemical_formula_sum 'Co8 Sn4 P4'
_cell_length_a 4.1757
_cell_length_b 4.1757
_cell_length_c 14.8198
_cell_angle_alpha 90.00
_cell_angle_beta 90.00
_cell_angle_gamma 90.00
_symmetry_space_group_name_H-M 'I -4 2 d'
_symmetry_Int_Tables_number 122
_symmetry_space_group_name_Hall 'I -4 2bw'
loop_
_atom_site_label
_atom_site_fract_x
_atom_site_fract_y
_atom_site_fract_z
_atom_site_occupancy
Co1 0.1503 0.2500 0.1250 1
Sn1 0.0000 0.0000 0.5000 1
P1 0.0000 0.0000 0.0000 1
```

***

No. 4
RbCu2Tc: optimized geometry, PBE.

## Properties
Magnetic moment ... 13.26 Bohr magnetons per cell
Energy ... -3.760 eV per atom
D(E_F) ... 10.250 states/eV/cell
Distance to the lowest polymorph of the same formula ... 0 meV per atom
Energy relative to the elements ... 4.5 eV/f.u.
Volume ... 27.837 A^3/atom
ρ ... 4631 kg/m³

CIF file:
```
data_RbCu2Tc
_chemical_formula_sum 'Rb4 Cu8 Tc4'
_cell_length_a 5.0897
_cell_length_b 5.0897
_cell_length_c 17.1935
_cell_angle_alpha 90.00
_cell_angle_beta 90.00
_cell_angle_gamma 90.00
_symmetry_space_group_name_H-M 'I 41/a m d'
_symmetry_Int_Tables_number 141
loop_
_symmetry_equiv_pos_as_xyz
'x,y,z'
'-x,-y,-z'
'-y+1/4,x+3/4,z+1/4'
'y+1/4,-x+3/4,-z+1/4'
'-x+1/2,-y,z+1/2'
'x+1/2,y,-z+1/2'
'y+1/4,-x+1/4,z+3/4'
'-y+1/4,x+1/4,-z+3/4'
'x,-y,-z'
'-x,y,z'
'-y+1/4,-x+1/4,-z+3/4'
'y+1/4,x+1/4,z+3/4'
'-x+1/2,y,-z+1/2'
'x+1/2,-y,z+1/2'
'y+1/4,x+3/4,-z+1/4'
'-y+1/4,-x+3/4,z+1/4'
'x+1/2,y+1/2,z+1/2'
'-x+1/2,-y+1/2,-z+1/2'
'-y+3/4,x+1/4,z+3/4'
'y+3/4,-x+1/4,-z+3/4'
'-x,-y+1/2,z'
'x,y+1/2,-z'
'y+3/4,-x+3/4,z+1/4'
'-y+3/4,x+3/4,-z+1/4'
'x+1/2,-y+1/2,-z+1/2'
'-x+1/2,y+1/2,z+1/2'
'-y+3/4,-x+3/4,-z+1/4'
'y+3/4,x+3/4,z+1/4'
'-x,y+1/2,-z'
'x,-y+1/2,z'
'y+3/4,x+1/4,-z+3/4'
'-y+3/4,-x+1/4,z+3/4'
loop_
_atom_site_label
_atom_site_fract_x
_atom_site_fract_y
_atom_site_fract_z
_atom_site_occupancy
Rb1 0.0000 0.2500 0.3750 1
Cu1 0.0000 0.0000 0.0000 1
Tc1 0.0000 0.2500 0.8750 1
```

***

No. 5
KAg3Pt: optimized geometry, PBE.

## Properties
Magnetic moment ... 0.00 Bohr magnetons per cell
Energy ... -3.043 eV per atom
D(E_F) ... 2.241 states/eV/cell
Distance to the lowest polymorph of the same formula ... 79 meV per atom
Energy relative to the elements ... 0.5 eV/f.u.
Volume ... 23.385 A^3/atom
ρ ... 7922 kg/m³

CIF file:
```
data_KAg3Pt
_chemical_formula_sum 'K2 Ag6 Pt2'
_cell_length_a 6.8226
_cell_length_b 6.8226
_cell_length_c 5.7994
_cell_angle_alpha 90.00
_cell_angle_beta 90.00
_cell_angle_gamma 120.00
_symmetry_space_group_name_H-M 'P 63/m m c'
_symmetry_Int_Tables_number 194
_symmetry_space_group_name_Hall '-P 6c 2c'
loop_
_atom_site_label
_atom_site_fract_x
_atom_site_fract_y
_atom_site_fract_z
_atom_site_occupancy
K1 0.3333 0.6667 0.2500 1
Ag1 0.1973 0.3945 0.7500 1
Pt1 0.0000 0.0000 0.0000 1
```

***

No. 6
SrIBr3: optimized geometry, PBE.

## Properties
Magnetic moment ... 0.00 Bohr magnetons per cell
Energy ... -2.125 eV per atom
D(E_F) ... 1.898 states/eV/cell
Distance to the lowest polymorph of the same formula ... 772 meV per atom
Volume ... 42.879 A^3/atom
ρ ... 3518 kg/m³

CIF file:
```
data_SrIBr3
_chemical_formula_sum 'Sr1 I1 Br3'
_cell_length_a 5.9851
_cell_length_b 5.9851
_cell_length_c 5.9851
_cell_angle_alpha 90.00
_cell_angle_beta 90.00
_cell_angle_gamma 90.00
_symmetry_space_group_name_H-M 'P m -3 m'
_symmetry_Int_Tables_number 221
_symmetry_space_group_name_Hall '-P 4 2 3'
loop_
_atom_site_label
_atom_site_fract_x
_atom_site_fract_y
_atom_site_fract_z
_atom_site_occupancy
Sr1 0.0000 0.0000 0.0000 1
I1 0.5000 0.5000 0.5000 1
Br1 0.0000 0.5000 0.5000 1
```

***

> Which formula does entry 6 have?

SrIBr3

***

> What is the formula in the second record?

Pm12HoGe6

***

> Which value of magnetic moment does entry 5 give?

0.00 Bohr magnetons per cell

***

> Which value of volume does entry 3 give?

16.150 A^3/atom